1.
Er5TmGa4 | Alexandria via LeMat-Bulk | GGA-PBE | relaxed; Fermi-level density of states = 9.07 states/eV per cell; DFT total energy = -4.228 eV/atom; SG = C2/m, No. 12
1.0
3.634 0.000 0.000
0.000 8.618 0.339
-1.817 -0.915 8.413
Er Ga Tm
5 4 1
Direct
0.149 0.783 0.299
0.851 0.217 0.701
0.812 0.646 0.623
0.500 0.500 0.000
0.188 0.354 0.377
0.976 0.746 0.952
0.024 0.254 0.048
0.685 0.062 0.370
0.315 0.938 0.630
0.500 0.000 0.000

---

2.
Rb2HoC2O6 | Alexandria via LeMat-Bulk | GGA-PBE | relaxed; Fermi-level density of states = 1.70 states/eV per cell; SG = P-3m1, No. 164; uncorrected formation energy = -1.917 eV per atom
1.0
5.467 0.000 0.000
-2.733 4.735 0.000
0.000 0.000 8.572
O Rb Ho C
6 2 1 2
Direct
0.196 0.804 0.855
0.804 0.607 0.145
0.607 0.804 0.855
0.804 0.196 0.145
0.393 0.196 0.145
0.196 0.393 0.855
0.333 0.667 0.309
0.667 0.333 0.691
0.000 0.000 0.000
0.667 0.333 0.142
0.333 0.667 0.858